Entry 1:
A geometry-optimized RbCe2Cu2S6 structure, computed with PBE-GGA.

Cell and atoms, written as POSCAR:
```
RbCe2Cu2S6
1.0
7.312 0.000 0.000
3.236 6.606 0.000
3.631 2.208 6.300
Rb Ce Cu S
1 2 2 6
Direct
0.000 0.000 0.000
0.327 0.022 0.324
0.673 0.978 0.676
0.274 0.568 0.692
0.726 0.432 0.308
0.082 0.750 0.480
0.338 0.241 0.912
0.450 0.766 0.670
0.550 0.234 0.330
0.662 0.759 0.088
0.918 0.250 0.520
```

Values from the calculation:
Fermi-level density of states	6.26	states/eV/cell
space-group type	No. 2

---

Entry 2:
A geometry-optimized RbCe2CuS4 structure, computed with PBE-GGA.

Cell and atoms, written as POSCAR:
```
RbCe2CuS4
1.0
2.043 -7.073 0.000
2.043 7.073 0.000
0.000 0.000 13.988
Rb Ce Cu S
2 4 2 8
Direct
0.105 0.895 0.750
0.895 0.105 0.250
0.368 0.632 0.559
0.368 0.632 0.941
0.632 0.368 0.059
0.632 0.368 0.441
0.166 0.834 0.250
0.834 0.166 0.750
0.000 0.000 0.000
0.000 0.000 0.500
0.259 0.741 0.112
0.259 0.741 0.388
0.421 0.579 0.750
0.579 0.421 0.250
0.741 0.259 0.612
0.741 0.259 0.888
```

Values from the calculation:
Fermi-level density of states	24.35	states/eV/cell
space-group type	No. 63

---

Entry 3:
A geometry-optimized Rb4Ce3CuSe8 structure, computed with PBE-GGA.

Cell and atoms, written as POSCAR:
```
Rb4Ce3CuSe8
1.0
7.536 -4.243 0.000
7.536 4.243 0.000
-4.980 0.000 7.935
Rb Ce Cu Se
4 3 1 8
Direct
0.000 0.000 0.000
0.000 0.500 0.000
0.500 0.000 0.000
0.500 0.500 0.000
0.000 0.000 0.500
0.000 0.500 0.500
0.500 0.000 0.500
0.500 0.500 0.500
0.232 0.232 0.701
0.239 0.720 0.684
0.258 0.258 0.299
0.280 0.761 0.316
0.720 0.239 0.684
0.742 0.742 0.701
0.761 0.280 0.316
0.768 0.768 0.299
```

Values from the calculation:
Fermi-level density of states	14.53	states/eV/cell
space-group type	No. 12

---

Entry 4:
A geometry-optimized Rb2Ce2CuSe6 structure, computed with PBE-GGA.

Cell and atoms, written as POSCAR:
```
Rb2Ce2CuSe6
1.0
3.534 -6.336 0.000
3.534 6.336 0.000
-2.334 0.000 8.198
Rb Ce Cu Se
2 2 1 6
Direct
0.160 0.840 0.000
0.840 0.160 0.000
0.333 0.667 0.500
0.667 0.333 0.500
0.000 0.000 0.500
0.064 0.403 0.694
0.233 0.233 0.333
0.403 0.064 0.694
0.597 0.936 0.306
0.767 0.767 0.667
0.936 0.597 0.306
```

Values from the calculation:
Fermi-level density of states	6.07	states/eV/cell
space-group type	No. 12

---

Entry 5:
A geometry-optimized RbCe2CuSe4 structure, computed with PBE-GGA.

Cell and atoms, written as POSCAR:
```
RbCe2CuSe4
1.0
2.126 -7.356 0.000
2.126 7.356 0.000
0.000 0.000 14.638
Rb Ce Cu Se
2 4 2 8
Direct
0.108 0.892 0.750
0.892 0.108 0.250
0.367 0.633 0.560
0.367 0.633 0.940
0.633 0.367 0.060
0.633 0.367 0.440
0.163 0.837 0.250
0.837 0.163 0.750
0.000 0.000 0.000
0.000 0.000 0.500
0.261 0.739 0.113
0.261 0.739 0.387
0.427 0.573 0.750
0.573 0.427 0.250
0.739 0.261 0.613
0.739 0.261 0.887
```

Values from the calculation:
Fermi-level density of states	25.38	states/eV/cell
space-group type	No. 63

---

Entry 6:
A geometry-optimized Rb3Ce2CuSe6 structure, computed with PBE-GGA.

Cell and atoms, written as POSCAR:
```
Rb3Ce2CuSe6
1.0
3.565 -6.701 0.000
3.565 6.701 0.000
-2.319 0.000 7.891
Rb Ce Cu Se
3 2 1 6
Direct
0.000 0.000 0.000
0.345 0.655 0.000
0.655 0.345 0.000
0.165 0.835 0.500
0.835 0.165 0.500
0.500 0.500 0.500
0.074 0.438 0.295
0.258 0.258 0.665
0.438 0.074 0.295
0.562 0.926 0.705
0.742 0.742 0.335
0.926 0.562 0.705
```

Values from the calculation:
Fermi-level density of states	2.95	states/eV/cell
space-group type	No. 12

---

Entry 7:
A geometry-optimized RbCe2Cu2Se6 structure, computed with PBE-GGA.

Cell and atoms, written as POSCAR:
```
RbCe2Cu2Se6
1.0
7.616 0.000 0.000
-3.410 6.830 0.000
-3.780 -2.165 6.585
Rb Ce Cu Se
1 2 2 6
Direct
0.000 0.000 0.000
0.346 0.014 0.674
0.654 0.986 0.326
0.042 0.572 0.313
0.958 0.428 0.687
0.127 0.239 0.668
0.249 0.754 0.920
0.449 0.746 0.530
0.551 0.254 0.470
0.751 0.246 0.080
0.873 0.761 0.332
```

Values from the calculation:
Fermi-level density of states	6.42	states/eV/cell
space-group type	No. 2

---

Entry 8:
A geometry-optimized RbCeCuSe3 structure, computed with PBE-GGA.

Cell and atoms, written as POSCAR:
```
RbCeCuSe3
1.0
9.412 0.000 0.000
0.000 4.198 0.000
-3.255 0.000 9.231
Rb Ce Cu Se
2 2 2 6
Direct
0.206 0.250 0.246
0.794 0.750 0.754
0.318 0.750 0.837
0.682 0.250 0.163
0.082 0.250 0.595
0.918 0.750 0.405
0.118 0.250 0.856
0.196 0.750 0.533
0.465 0.750 0.154
0.535 0.250 0.846
0.804 0.250 0.467
0.882 0.750 0.144
```

Values from the calculation:
Fermi-level density of states	5.15	states/eV/cell
space-group type	No. 11

---

Entry 9:
A geometry-optimized Rb2CeCu2Se4 structure, computed with PBE-GGA.

Cell and atoms, written as POSCAR:
```
Rb2CeCu2Se4
1.0
7.602 -2.093 0.000
7.602 2.093 0.000
-2.652 0.000 7.707
Rb Ce Cu Se
2 1 2 4
Direct
0.137 0.137 0.064
0.863 0.863 0.936
0.000 0.000 0.500
0.322 0.322 0.514
0.678 0.678 0.486
0.199 0.199 0.665
0.479 0.479 0.731
0.521 0.521 0.269
0.801 0.801 0.335
```

Values from the calculation:
Fermi-level density of states	1.74	states/eV/cell
space-group type	No. 12

---

Entry 10:
A geometry-optimized RbCeCuSe4 structure, computed with PBE-GGA.

Cell and atoms, written as POSCAR:
```
RbCeCuSe4
1.0
7.327 0.000 0.000
0.000 5.696 0.000
-2.617 0.000 9.456
Rb Ce Cu Se
2 2 2 8
Direct
0.243 0.250 0.045
0.757 0.750 0.955
0.270 0.250 0.555
0.730 0.750 0.445
0.264 0.750 0.326
0.736 0.250 0.674
0.005 0.515 0.699
0.005 0.985 0.699
0.411 0.750 0.577
0.468 0.750 0.178
0.532 0.250 0.822
0.589 0.250 0.423
0.995 0.015 0.301
0.995 0.485 0.301
```

Values from the calculation:
Fermi-level density of states	11.21	states/eV/cell
space-group type	No. 11

---

Formation energy from raw total energies
In order: -1.144; -1.591; -1.366; -1.191; -1.463; -1.269; -1.030; -1.262; -1.103; -1.032
Unit: eV/atom
Size of the total moment
In order: 0.00; 1.98; 1.07; 0.76; 2.01; 0.22; 0.00; 0.16; 0.15; 0.00
Unit: μB/f.u.
Final energy
In order: -58.4; -92.3; -75.5; -51.9; -85.1; -55.0; -53.3; -58.0; -39.9; -64.3
Unit: eV for the cell shown